A relaxed structure of YHoNiGe, computed with PBE.

Values from the calculation:
The calculation puts the density of states at the Fermi level at 4.6 states/eV/cell. The value obtained for the energy relative to the elements is -2.202 eV per formula unit. As for the total magnetic moment: 0.000 Bohr magnetons per cell.

The structure in CIF format:
```
data_YHoNiGe
_chemical_formula_sum 'Y4 Ho4 Ni4 Ge4'
_space_group_name_H-M_alt 'F -4 3 m'
_space_group_IT_number 216
_space_group_name_Hall 'F -4 2 3'
_cell_length_a 6.9580
_cell_length_b 6.9580
_cell_length_c 6.9580
_cell_angle_alpha 90.00
_cell_angle_beta 90.00
_cell_angle_gamma 90.00
loop_
_atom_site_label
_atom_site_fract_x
_atom_site_fract_y
_atom_site_fract_z
_atom_site_occupancy
Y1 0.0000 0.0000 0.0000 1
Ho1 0.0000 0.0000 0.5000 1
Ni1 0.2500 0.2500 0.2500 1
Ge1 0.2500 0.2500 0.7500 1
```